## Nd3SmAs4 (PBE-GGA)

Data for a relaxed structure of Nd3SmAs4.

Summary:
Crystal system: cubic
Symmetry: No. 221
Energy: -6.221 eV per atom
Spin magnetization: 0.0 μB per formula unit

a b c (Å): 6.020 6.020 6.020
angles (deg): 90.00 90.00 90.00
Fractional positions:
Nd: 0.000 0.000 0.500
Nd: 0.000 0.500 0.000
Nd: 0.500 0.000 0.000
Sm: 0.500 0.500 0.500
As: 0.000 0.000 0.000
As: 0.000 0.500 0.500
As: 0.500 0.000 0.500
As: 0.500 0.500 0.000